# 1
# Tb2ScFe9 (GGA-PBE, optimized geometry)
data_Tb2ScFe9
_chemical_formula_sum 'Tb2 Sc1 Fe9'
_cell_length_a 8.597
_cell_length_b 8.597
_cell_length_c 8.597
_cell_angle_alpha 34.00
_cell_angle_beta 34.00
_cell_angle_gamma 34.00
_space_group_name_H-M_alt 'P 1'
_space_group_IT_number 1
_space_group_name_Hall 'P 1'
loop_
_atom_site_label
_atom_site_fract_x
_atom_site_fract_y
_atom_site_fract_z
Tb1 0.141 0.141 0.141
Tb2 0.859 0.859 0.859
Sc1 0.000 0.000 0.000
Fe1 0.080 0.580 0.580
Fe2 0.333 0.333 0.333
Fe3 0.420 0.420 0.920
Fe4 0.420 0.920 0.420
Fe5 0.500 0.500 0.500
Fe6 0.580 0.080 0.580
Fe7 0.580 0.580 0.080
Fe8 0.667 0.667 0.667
Fe9 0.920 0.420 0.420
# Electronic total energy: -7.703 eV per atom
# ρ: 8.12 Mg/m³
# N(E_F): 1.25 states/eV per atom
# Space group: R-3m



# 2
# LaBe3Cd (GGA-PBE, optimized geometry)
data_LaBe3Cd
_chemical_formula_sum 'La1 Be3 Cd1'
_cell_length_a 4.544
_cell_length_b 4.544
_cell_length_c 4.544
_cell_angle_alpha 90.00
_cell_angle_beta 90.00
_cell_angle_gamma 90.00
_space_group_name_H-M_alt 'P 1'
_space_group_IT_number 1
_space_group_name_Hall 'P 1'
loop_
_atom_site_label
_atom_site_fract_x
_atom_site_fract_y
_atom_site_fract_z
La1 0.000 0.000 0.000
Be1 0.000 0.500 0.500
Be2 0.500 0.000 0.500
Be3 0.500 0.500 0.000
Cd1 0.500 0.500 0.500
# ΔE to the lowest computed polymorph: 0 meV per atom
# ρ: 4.93 Mg/m³
# N(E_F): 0.49 states/eV per atom
# Space group: Pm-3m